[1]
## LaZnCu2 (GGA-PBE)

Data for a relaxed structure of LaZnCu2.

```
4
Lattice="-2.682 -0.676 -3.891 -1.092 -4.429 -1.406 -4.474 -1.608 0.435" Properties=species:S:1:pos:R:3 pbc="T T T"
La -4.124 -3.356 -2.431
Zn -6.186 -5.034 -3.646
Cu -2.062 -1.678 -1.215
Cu 0.000 0.000 0.000
```

Properties
Symmetry: F-43m
Raw total energy, eV/atom: -3.6483
Energy of formation, eV per atom: -0.050

[2]
## Ba6NiPd2I3 (GGA-PBE)

Data for a relaxed structure of Ba6NiPd2I3.

```
12
Lattice="8.026 0.000 0.001 -4.011 6.952 0.001 -1.338 -2.317 8.751" Properties=species:S:1:pos:R:3 pbc="T T T"
Ba -0.026 -0.045 6.976
Ba 2.702 4.679 1.777
Ba -1.310 2.271 1.766
Ba 3.987 2.364 6.987
Ba 2.622 0.000 1.766
Ba 0.055 4.635 6.987
Ni 0.000 0.000 0.000
I 1.338 2.317 4.376
I -2.653 4.623 4.376
I 5.330 0.012 4.376
Pd 4.009 2.320 0.001
Pd 0.006 4.632 0.001
```

Properties
Symmetry: C2/m
Formation energy without anion corrections, eV per atom: -0.8671
Raw total energy, eV/atom: -3.5633